Compound: Nb2IrRh
Source: Alexandria
Functional: PBE
Structure: optimized geometry

a = 3.888 Å, b = 4.070 Å, c = 4.070 Å
α = 90.00°, β = 90.00°, γ = 90.00°
Fractional positions:
Nb (0.000, 0.000, 0.500)
Nb (0.000, 0.500, 0.000)
Ir (0.500, 0.500, 0.500)
Rh (0.500, 0.000, 0.000)

Computed properties:
D(E_F) ... 3.40 states/eV/f.u.
SG ... No. 123
Calculated formation energy ... -46.4 kJ per mole of atoms